Entry 1:
# Zr2InI8 (PBE-GGA, optimized geometry)
# Total magnetic moment   0.0936 μB/atom
# Formation energy without anion corrections   -0.668 eV/atom
data_Zr2InI8
_chemical_formula_sum 'Zr2 In1 I8'
_space_group_name_H-M_alt 'P 1'
_space_group_IT_number 1
_cell_length_a 5.863
_cell_length_b 10.285
_cell_length_c 10.287
_cell_angle_alpha 120.00
_cell_angle_beta 90.00
_cell_angle_gamma 90.00
loop_
_space_group_symop_operation_xyz
'x,y,z'
loop_
_atom_site_label
_atom_site_fract_x
_atom_site_fract_y
_atom_site_fract_z
I1 0.740 0.823 0.644
I2 0.251 0.667 0.333
I3 0.740 0.356 0.179
I4 0.749 0.333 0.667
I5 0.260 0.644 0.821
I6 0.740 0.821 0.177
In1 0.000 0.000 0.000
Zr1 0.238 0.333 0.667
Zr2 0.762 0.667 0.333
I7 0.260 0.179 0.823
I8 0.260 0.177 0.356

=====

Entry 2:
# Zn2GaPd4 (PBE-GGA, optimized geometry)
# ΔE_f   -460.9 meV per atom
# Total magnetic moment   0.0000 μB/atom
data_Zn2GaPd4
_chemical_formula_sum 'Zn2 Ga1 Pd4'
_space_group_name_H-M_alt 'P 1'
_space_group_IT_number 1
_cell_length_a 5.222
_cell_length_b 5.222
_cell_length_c 5.222
_cell_angle_alpha 110.15
_cell_angle_beta 109.13
_cell_angle_gamma 109.13
loop_
_space_group_symop_operation_xyz
'x,y,z'
loop_
_atom_site_label
_atom_site_fract_x
_atom_site_fract_y
_atom_site_fract_z
Pd1 0.000 0.500 0.000
Ga1 0.000 0.000 0.000
Zn1 0.500 0.500 0.000
Pd2 0.000 0.000 0.500
Pd3 0.500 0.500 0.500
Pd4 0.500 0.000 0.000
Zn2 0.500 0.000 0.500

=====

Entry 3:
# Cs3Ag2Hg3 (PBE-GGA, optimized geometry)
# ΔE_f   -141.6 meV per atom
# Total magnetic moment   0.0000 μB/atom
data_Cs3Ag2Hg3
_chemical_formula_sum 'Cs6 Ag4 Hg6'
_space_group_name_H-M_alt 'P 1'
_space_group_IT_number 1
_cell_length_a 5.262
_cell_length_b 7.179
_cell_length_c 18.004
_cell_angle_alpha 90.00
_cell_angle_beta 90.00
_cell_angle_gamma 111.50
loop_
_space_group_symop_operation_xyz
'x,y,z'
loop_
_atom_site_label
_atom_site_fract_x
_atom_site_fract_y
_atom_site_fract_z
Hg1 0.347 0.694 0.538
Ag1 0.218 0.436 0.395
Hg2 0.347 0.694 0.962
Ag2 0.782 0.564 0.605
Cs1 0.927 0.854 0.397
Ag3 0.218 0.436 0.105
Ag4 0.782 0.564 0.895
Cs2 0.073 0.146 0.603
Hg3 0.328 0.657 0.250
Hg4 0.653 0.306 0.038
Cs3 0.625 0.251 0.250
Cs4 0.927 0.854 0.103
Cs5 0.375 0.749 0.750
Hg5 0.653 0.306 0.462
Hg6 0.672 0.343 0.750
Cs6 0.073 0.146 0.897

=====

Entry 4:
# Hf4Al2Tc (PBE-GGA, optimized geometry)
# ΔE_f   481.1 meV per atom
# Total magnetic moment   0.0000 μB/atom
data_Hf4Al2Tc
_chemical_formula_sum 'Hf4 Al2 Tc1'
_space_group_name_H-M_alt 'P 1'
_space_group_IT_number 1
_cell_length_a 4.885
_cell_length_b 4.885
_cell_length_c 7.845
_cell_angle_alpha 71.86
_cell_angle_beta 71.86
_cell_angle_gamma 90.00
loop_
_space_group_symop_operation_xyz
'x,y,z'
loop_
_atom_site_label
_atom_site_fract_x
_atom_site_fract_y
_atom_site_fract_z
Al1 0.623 0.623 0.753
Hf1 0.820 0.820 0.360
Tc1 0.000 0.000 0.000
Al2 0.377 0.377 0.247
Hf2 0.180 0.180 0.640
Hf3 0.500 0.000 0.000
Hf4 0.000 0.500 0.000

=====

Entry 5:
# Cs2Ce2PuSe6 (PBE-GGA, optimized geometry)
# Total magnetic moment   0.5459 μB/atom
# Formation energy without anion corrections   -1.614 eV/atom
data_Cs2Ce2PuSe6
_chemical_formula_sum 'Cs2 Ce2 Pu1 Se6'
_space_group_name_H-M_alt 'P 1'
_space_group_IT_number 1
_cell_length_a 7.468
_cell_length_b 7.468
_cell_length_c 8.873
_cell_angle_alpha 98.07
_cell_angle_beta 98.07
_cell_angle_gamma 119.96
loop_
_space_group_symop_operation_xyz
'x,y,z'
loop_
_atom_site_label
_atom_site_fract_x
_atom_site_fract_y
_atom_site_fract_z
Cs1 0.167 0.833 0.000
Se1 0.729 0.729 0.681
Se2 0.271 0.271 0.319
Se3 0.393 0.059 0.681
Ce1 0.334 0.666 0.500
Se4 0.607 0.941 0.319
Se5 0.059 0.393 0.681
Cs2 0.833 0.167 0.000
Pu1 0.000 0.000 0.500
Ce2 0.666 0.334 0.500
Se6 0.941 0.607 0.319

=====

Entry 6:
# Th2InRe (PBE-GGA, optimized geometry)
# ΔE_f   -113.1 meV per atom
# Total magnetic moment   0.0000 μB/atom
# Excess energy over the best structure of this formula in the dataset   0 meV/atom
data_Th2InRe
_chemical_formula_sum 'Th2 In1 Re1'
_space_group_name_H-M_alt 'P 1'
_space_group_IT_number 1
_cell_length_a 3.470
_cell_length_b 3.470
_cell_length_c 8.774
_cell_angle_alpha 90.00
_cell_angle_beta 90.00
_cell_angle_gamma 90.00
loop_
_space_group_symop_operation_xyz
'x,y,z'
loop_
_atom_site_label
_atom_site_fract_x
_atom_site_fract_y
_atom_site_fract_z
Th1 0.000 0.000 0.795
In1 0.500 0.500 0.500
Th2 0.000 0.000 0.205
Re1 0.500 0.500 0.000

=====

Entry 7:
# Er3PaP2Rh9 (PBE-GGA, optimized geometry)
# ΔE_f   -718.0 meV per atom
# Total magnetic moment   0.0000 μB/atom
data_Er3PaP2Rh9
_chemical_formula_sum 'Er3 Pa1 P2 Rh9'
_space_group_name_H-M_alt 'P 1'
_space_group_IT_number 1
_cell_length_a 5.977
_cell_length_b 5.977
_cell_length_c 9.466
_cell_angle_alpha 90.00
_cell_angle_beta 90.00
_cell_angle_gamma 120.00
loop_
_space_group_symop_operation_xyz
'x,y,z'
loop_
_atom_site_label
_atom_site_fract_x
_atom_site_fract_y
_atom_site_fract_z
P1 0.333 0.667 0.157
Rh1 0.848 0.696 0.721
Rh2 0.304 0.152 0.721
Rh3 0.152 0.848 0.279
Rh4 0.500 0.500 0.000
Rh5 0.696 0.848 0.279
Pa1 0.000 0.000 0.500
Er1 0.667 0.333 0.273
P2 0.667 0.333 0.843
Er2 0.333 0.667 0.727
Rh6 0.152 0.304 0.279
Rh7 0.500 0.000 0.000
Rh8 0.000 0.500 0.000
Rh9 0.848 0.152 0.721
Er3 0.000 0.000 0.000

=====

Entry 8:
# IrOs3Rh (PBE-GGA, optimized geometry)
# ΔE_f   668.3 meV per atom
# Total magnetic moment   0.0000 μB/atom
# Excess energy over the best structure of this formula in the dataset   597 meV/atom
data_IrOs3Rh
_chemical_formula_sum 'Ir2 Os6 Rh2'
_space_group_name_H-M_alt 'P 1'
_space_group_IT_number 1
_cell_length_a 6.260
_cell_length_b 6.260
_cell_length_c 6.260
_cell_angle_alpha 110.20
_cell_angle_beta 132.51
_cell_angle_gamma 88.79
loop_
_space_group_symop_operation_xyz
'x,y,z'
loop_
_atom_site_label
_atom_site_fract_x
_atom_site_fract_y
_atom_site_fract_z
Os1 0.292 0.042 0.750
Rh1 0.978 0.728 0.750
Os2 0.708 0.958 0.250
Os3 0.500 0.675 0.675
Os4 0.500 0.325 0.325
Os5 0.000 0.675 0.175
Os6 0.000 0.325 0.825
Ir1 0.500 0.000 0.500
Ir2 0.500 0.500 0.000
Rh2 0.022 0.272 0.250

=====

Entry 9:
# PuMgPtAu (PBE-GGA, optimized geometry)
# ΔE_f   -579.8 meV per atom
# Total magnetic moment   1.3313 μB/atom
data_PuMgPtAu
_chemical_formula_sum 'Pu1 Mg1 Pt1 Au1'
_space_group_name_H-M_alt 'P 1'
_space_group_IT_number 1
_cell_length_a 4.888
_cell_length_b 4.888
_cell_length_c 4.888
_cell_angle_alpha 60.00
_cell_angle_beta 60.00
_cell_angle_gamma 60.00
loop_
_space_group_symop_operation_xyz
'x,y,z'
loop_
_atom_site_label
_atom_site_fract_x
_atom_site_fract_y
_atom_site_fract_z
Pu1 0.000 0.000 0.000
Pt1 0.750 0.750 0.750
Au1 0.250 0.250 0.250
Mg1 0.500 0.500 0.500

=====

Entry 10:
# La12PmTl4O3 (PBE-GGA, optimized geometry)
# Total magnetic moment   0.0550 μB/atom
# Formation energy without anion corrections   -0.857 eV/atom
data_La12PmTl4O3
_chemical_formula_sum 'La12 Pm1 Tl4 O3'
_space_group_name_H-M_alt 'P 1'
_space_group_IT_number 1
_cell_length_a 9.042
_cell_length_b 9.042
_cell_length_c 9.042
_cell_angle_alpha 109.47
_cell_angle_beta 109.47
_cell_angle_gamma 109.47
loop_
_space_group_symop_operation_xyz
'x,y,z'
loop_
_atom_site_label
_atom_site_fract_x
_atom_site_fract_y
_atom_site_fract_z
Tl1 0.000 0.000 0.500
La1 0.250 0.750 0.500
Tl2 0.500 0.500 0.500
O1 0.500 0.000 0.500
La2 0.729 0.729 0.000
La3 0.250 0.500 0.750
La4 0.729 0.000 0.729
Pm1 0.000 0.000 0.000
La5 0.271 0.000 0.271
O2 0.500 0.500 0.000
O3 0.000 0.500 0.500
La6 0.271 0.271 0.000
La7 0.750 0.500 0.250
La8 0.000 0.729 0.729
La9 0.750 0.250 0.500
La10 0.000 0.271 0.271
Tl3 0.500 0.000 0.000
La11 0.500 0.750 0.250
Tl4 0.000 0.500 0.000
La12 0.500 0.250 0.750

=====

Entry 11:
# BaLa2Ni (PBE-GGA, optimized geometry)
# ΔE_f   359.3 meV per atom
# Total magnetic moment   0.0000 μB/atom
# Excess energy over the best structure of this formula in the dataset   461 meV/atom
data_BaLa2Ni
_chemical_formula_sum 'Ba1 La2 Ni1'
_space_group_name_H-M_alt 'P 1'
_space_group_IT_number 1
_cell_length_a 3.891
_cell_length_b 5.619
_cell_length_c 5.748
_cell_angle_alpha 90.00
_cell_angle_beta 90.00
_cell_angle_gamma 90.00
loop_
_space_group_symop_operation_xyz
'x,y,z'
loop_
_atom_site_label
_atom_site_fract_x
_atom_site_fract_y
_atom_site_fract_z
Ba1 0.000 0.500 0.500
Ni1 0.500 0.000 0.500
La1 0.500 0.500 0.000
La2 0.000 0.000 0.000